# 1
Computed, not measured: crystalline AlHg2Sb at its relaxed geometry at the PBE level of DFT.

Cell: 5.2234 4.3396 4.3351 Å, 85.97 90.00 90.00°
Fractional coordinates of all 4 atoms:
1 Sb 0.5000 0.2500 0.2500
2 Hg 0.0000 0.9854 0.9854
3 Hg 0.0000 0.5146 0.5146
4 Al 0.5000 0.7500 0.7500

Values from the calculation:
- distance to the lowest polymorph of the same formula (eV per atom) = 0.053
- ΔE_f (raw) (eV/atom) = 0.118
- total magnetic moment (μB per formula unit) = 0.00
- N(E_F) (states/eV/atom) = 0.3322

***

# 2
Computed, not measured: crystalline AlSiN2 at its relaxed geometry at the PBE level of DFT.

Cell: 3.7039 3.7039 3.7039 Å, 60.00 60.00 60.00°
Fractional coordinates of all 4 atoms:
1 Si 0.5000 0.5000 0.5000
2 Al 0.0000 0.0000 0.0000
3 N 0.2500 0.2500 0.2500
4 N 0.7500 0.7500 0.7500

Values from the calculation:
- distance to the lowest polymorph of the same formula (eV per atom) = 1.528
- ΔE_f (raw) (eV/atom) = 0.787
- total magnetic moment (μB per formula unit) = 0.00
- N(E_F) (states/eV/atom) = 0.3030

***

# 3
Computed, not measured: crystalline Ho5Al6 at its relaxed geometry at the PBE level of DFT.

Cell: 5.0020 6.9686 8.5541 Å, 114.04 107.00 90.00°
Fractional coordinates of all 11 atoms:
1 Ho 0.0000 0.5000 0.0000
2 Ho 0.6580 0.6580 0.3159
3 Ho 0.3420 0.3420 0.6841
4 Ho 0.3112 0.8112 0.6224
5 Ho 0.6888 0.1888 0.3776
6 Al 0.4999 0.8038 0.0000
7 Al 0.5001 0.1962 0.0000
8 Al 0.8542 0.0636 0.7084
9 Al 0.8542 0.6448 0.7084
10 Al 0.1458 0.9364 0.2916
11 Al 0.1458 0.3552 0.2916

Values from the calculation:
- total magnetic moment (μB per formula unit) = 0.00
- N(E_F) (states/eV/atom) = 0.6830
- ΔH_f (0 K) (eV/f.u.) = -3.0

***

# 4
Computed, not measured: crystalline ZnCuGe at its relaxed geometry at the PBE level of DFT.

Cell: 2.8035 5.9574 2.8030 Å, 90.00 90.03 90.00°
Fractional coordinates of all 3 atoms:
1 Ge 0.0000 0.8342 0.5000
2 Zn 0.0000 0.4081 0.5000
3 Cu 0.5000 0.1242 0.0000

Values from the calculation:
- total magnetic moment (μB per formula unit) = 0.00
- N(E_F) (states/eV/atom) = 0.1605
- ΔH_f (0 K) (eV/f.u.) = 0.1